A relaxed structure of Fe5CoIr4. Source: Alexandria, functional PBE.

a b c (Å): 2.9784 2.9784 14.9125
angles (deg): 90.00 90.00 90.00
Last column: nearest neighbours and their distance in Å.
Positions (direct):
Fe (0.0000, 0.0000, 0.0000)  8 Ir 2.61
Fe (0.0000, 0.0000, 0.2068)  8 Ir 2.60-2.61
Fe (0.0000, 0.0000, 0.4104)  4 Co 2.49, 4 Ir 2.59, 1 Fe 2.67
Fe (0.0000, 0.0000, 0.5896)  4 Co 2.49, 4 Ir 2.59, 1 Fe 2.67
Fe (0.0000, 0.0000, 0.7932)  8 Ir 2.60-2.61
Co (0.5000, 0.5000, 0.5000)  8 Fe 2.49
Ir (0.5000, 0.5000, 0.1032)  8 Fe 2.61
Ir (0.5000, 0.5000, 0.3093)  8 Fe 2.59-2.60, 1 Co 2.84
Ir (0.5000, 0.5000, 0.6907)  8 Fe 2.59-2.60, 1 Co 2.84
Ir (0.5000, 0.5000, 0.8968)  8 Fe 2.61

Its total energy is -8.468 eV per atom.

---

A relaxed structure of GaIr3F. Source: Alexandria, functional PBE.

a b c (Å): 4.6263 4.6263 4.6263
angles (deg): 90.00 90.00 90.00
Last column: nearest neighbours and their distance in Å.
Positions (direct):
Ga (0.0000, 0.0000, 0.0000)  6 Ir 2.31
Ir (0.0000, 0.0000, 0.5000)  2 Ga 2.31
Ir (0.0000, 0.5000, 0.0000)  2 Ga 2.31
Ir (0.5000, 0.0000, 0.0000)  2 Ga 2.31
F (0.5000, 0.5000, 0.5000)  12 Ir 3.27

For the energy above the most stable polymorph in this dataset, the calculation gives 390.9 meV/atom. The value obtained for the uncorrected formation energy is 36.59 kcal/mol of atoms.

---

A relaxed structure of SmDyAg. Source: Alexandria, functional PBE.

a b c (Å): 6.3948 6.3948 8.6828
angles (deg): 121.11 121.11 34.02
Last column: nearest neighbours and their distance in Å.
Positions (direct):
Sm (0.0912, 0.0912, 0.3494)  5 Ag 3.16-3.47
Sm (0.9088, 0.9088, 0.6506)  5 Ag 3.16-3.47
Dy (0.3470, 0.3470, 0.9502)  3 Ag 3.06-3.17, 1 Dy 3.36
Dy (0.6530, 0.6530, 0.0498)  3 Ag 3.06-3.17, 1 Dy 3.36
Ag (0.3669, 0.3669, 0.3299)  1 Ag 2.99, 3 Dy 3.06-3.17, 4 Sm 3.16-3.25
Ag (0.6331, 0.6331, 0.6701)  1 Ag 2.99, 3 Dy 3.06-3.17, 4 Sm 3.16-3.25

For the energy above the most stable polymorph in this dataset, the calculation gives 6.2 meV/atom.

---

A relaxed structure of PAuSeBr2. Source: Alexandria, functional PBE.

a b c (Å): 5.1035 5.1035 4.8363
angles (deg): 90.00 90.00 90.00
Last column: nearest neighbours and their distance in Å.
Positions (direct):
P (0.0000, 0.0000, 0.0000)  2 Se 2.42, 4 Br 2.55
Au (0.5000, 0.5000, 0.5000)  8 Br 3.52, 4 Se 3.61
Se (0.0000, 0.0000, 0.5000)  2 P 2.42
Br (0.0000, 0.5000, 0.0000)  2 P 2.55
Br (0.5000, 0.0000, 0.0000)  2 P 2.55

For the energy above the most stable polymorph in this dataset, the calculation gives 0.0 meV/atom. The value obtained for the uncorrected formation energy is 11.49 kcal/mol of atoms.

---

A relaxed structure of Cu4PdAu2. Source: Alexandria, functional PBE.

a b c (Å): 5.4727 5.3355 5.3263
angles (deg): 61.77 59.20 59.03
Last column: nearest neighbours and their distance in Å.
Positions (direct):
Cu (0.0000, 0.0000, 0.5000)  2 Pd 2.66, 4 Au 2.67, 4 Cu 2.74
Cu (0.0000, 0.5000, 0.0000)  4 Au 2.66, 2 Pd 2.67, 4 Cu 2.74
Cu (0.5000, 0.0000, 0.5000)  4 Au 2.66, 2 Pd 2.67, 4 Cu 2.74
Cu (0.5000, 0.5000, 0.0000)  2 Pd 2.66, 4 Au 2.67, 4 Cu 2.74
Pd (0.0000, 0.0000, 0.0000)  8 Cu 2.66-2.67, 4 Au 2.74
Au (0.0000, 0.5000, 0.5000)  8 Cu 2.66-2.67, 2 Pd 2.74
Au (0.5000, 0.0000, 0.0000)  8 Cu 2.66-2.67, 2 Pd 2.74

For the energy above the most stable polymorph in this dataset, the calculation gives 0.0 meV/atom.

---

A relaxed structure of MnZnFe2. Source: Alexandria, functional PBE.

a b c (Å): 4.1215 4.1215 4.1215
angles (deg): 60.00 60.00 60.00
Last column: nearest neighbours and their distance in Å.
Positions (direct):
Mn (0.0000, 0.0000, 0.0000)  4 Fe 2.52, 4 Zn 2.52
Zn (0.2500, 0.2500, 0.2500)  4 Mn 2.52, 4 Fe 2.52
Fe (0.5000, 0.5000, 0.5000)  4 Fe 2.52, 4 Zn 2.52
Fe (0.7500, 0.7500, 0.7500)  4 Mn 2.52, 4 Fe 2.52

Its total energy is -6.744 eV per atom.

---

A relaxed structure of SrSc2N. Source: Alexandria, functional PBE.

a b c (Å): 10.1967 10.1967 10.1967
angles (deg): 21.86 21.86 21.86
Last column: nearest neighbours and their distance in Å.
Positions (direct):
Sr (0.0000, 0.0000, 0.0000)  6 Sc 3.85, 6 Sr 3.87
Sc (0.4385, 0.4385, 0.4385)  1 N 1.84
Sc (0.5615, 0.5615, 0.5615)  1 N 1.84
N (0.5000, 0.5000, 0.5000)  2 Sc 1.84

The value obtained for the uncorrected formation energy is 1.57 kcal/mol of atoms.

---

A relaxed structure of ZrAlSe2. Source: Alexandria, functional PBE.

a b c (Å): 9.0084 9.0084 9.0084
angles (deg): 23.32 23.32 23.32
Last column: nearest neighbours and their distance in Å.
Positions (direct):
Zr (0.0000, 0.0000, 0.0000)  6 Se 2.70
Al (0.5000, 0.5000, 0.5000)  2 Se 2.69
Se (0.3977, 0.3977, 0.3977)  1 Al 2.69, 3 Zr 2.70
Se (0.6023, 0.6023, 0.6023)  1 Al 2.69, 3 Zr 2.70

The value obtained for the uncorrected formation energy is -17.18 kcal/mol of atoms.

---

D(E_F), record by record: 9.23; 7.21; 7.04; 2.37; 1.90; 3.23; 3.67; 2.34 states/eV per cell